# Pr4TmS7 PBE-GGA optimized geometry
data_Pr4TmS7
_chemical_formula_sum 'Pr4 Tm1 S7'
_cell_length_a 3.9511
_cell_length_b 6.9508
_cell_length_c 11.9192
_cell_angle_alpha 104.67
_cell_angle_beta 90.00
_cell_angle_gamma 106.51
_space_group_name_H-M_alt 'P 1'
_space_group_IT_number 1
loop_
_space_group_symop_operation_xyz
'x,y,z'
loop_
_atom_site_label
_atom_site_type_symbol
_atom_site_fract_x
_atom_site_fract_y
_atom_site_fract_z
Pr1 Pr 0.6981 0.3963 0.8058
Pr2 Pr 0.3018 0.6036 0.1939
Pr3 Pr 0.9989 0.9978 0.9961
Pr4 Pr 0.1113 0.2225 0.4261
Tm1 Tm 0.8875 0.7750 0.5773
S1 S 0.7443 0.4885 0.3600
S2 S 0.2711 0.5422 0.6466
S3 S 0.3376 0.6751 0.9478
S4 S 0.6601 0.3203 0.0509
S5 S 0.0373 0.0746 0.7755
S6 S 0.9596 0.9193 0.2151
S7 S 0.4925 0.9849 0.5048
# D(E_F) (states/eV/atom): 0.112
# Total moment (μB/f.u.): 0.0
# Formation energy without anion corrections (eV per atom): -2.051

# Sr2ZrCo PBE-GGA optimized geometry
data_Sr2ZrCo
_chemical_formula_sum 'Sr2 Zr1 Co1'
_cell_length_a 6.5937
_cell_length_b 6.5937
_cell_length_c 6.5937
_cell_angle_alpha 148.14
_cell_angle_beta 126.99
_cell_angle_gamma 63.19
_space_group_name_H-M_alt 'P 1'
_space_group_IT_number 1
loop_
_space_group_symop_operation_xyz
'x,y,z'
loop_
_atom_site_label
_atom_site_type_symbol
_atom_site_fract_x
_atom_site_fract_y
_atom_site_fract_z
Co1 Co 0.2817 0.7817 0.5000
Sr1 Sr 0.0539 0.0539 0.0000
Sr2 Sr 0.7421 0.2421 0.5000
Zr1 Zr 0.4223 0.4223 0.0000
# D(E_F) (states/eV/atom): 1.099
# Formation energy (meV per atom): 301
# Total moment (μB/f.u.): 0.0
# Energy relative to the lowest polymorph listed for this composition (meV per atom): 133

# RbN2ClF PBE-GGA optimized geometry
data_RbN2ClF
_chemical_formula_sum 'Rb1 N2 Cl1 F1'
_cell_length_a 6.1936
_cell_length_b 6.1936
_cell_length_c 4.9664
_cell_angle_alpha 90.00
_cell_angle_beta 90.00
_cell_angle_gamma 90.00
_space_group_name_H-M_alt 'P 1'
_space_group_IT_number 1
loop_
_space_group_symop_operation_xyz
'x,y,z'
loop_
_atom_site_label
_atom_site_type_symbol
_atom_site_fract_x
_atom_site_fract_y
_atom_site_fract_z
N1 N 0.0000 0.5000 0.0000
N2 N 0.5000 0.0000 0.0000
F1 F 0.0000 0.0000 0.5000
Rb1 Rb 0.0000 0.0000 0.0000
Cl1 Cl 0.5000 0.5000 0.5000
# D(E_F) (states/eV/atom): 2.150
# Total moment (μB/f.u.): 7.0
# Formation energy without anion corrections (eV per atom): 1.407
# Energy relative to the lowest polymorph listed for this composition (meV per atom): 441

# TiFePt6 PBE-GGA optimized geometry
data_TiFePt6
_chemical_formula_sum 'Ti1 Fe1 Pt6'
_cell_length_a 3.9362
_cell_length_b 3.9362
_cell_length_c 7.8464
_cell_angle_alpha 90.00
_cell_angle_beta 90.00
_cell_angle_gamma 90.00
_space_group_name_H-M_alt 'P 1'
_space_group_IT_number 1
loop_
_space_group_symop_operation_xyz
'x,y,z'
loop_
_atom_site_label
_atom_site_type_symbol
_atom_site_fract_x
_atom_site_fract_y
_atom_site_fract_z
Ti1 Ti 0.0000 0.0000 0.0000
Fe1 Fe 0.0000 0.0000 0.5000
Pt1 Pt 0.5000 0.5000 0.0000
Pt2 Pt 0.5000 0.5000 0.5000
Pt3 Pt 0.5000 0.0000 0.2497
Pt4 Pt 0.5000 0.0000 0.7503
Pt5 Pt 0.0000 0.5000 0.2497
Pt6 Pt 0.0000 0.5000 0.7503
# D(E_F) (states/eV/atom): 0.711
# Formation energy (meV per atom): -558
# Total moment (μB/f.u.): 4.9

# Sr2DyF6 PBE-GGA optimized geometry
data_Sr2DyF6
_chemical_formula_sum 'Sr4 Dy2 F12'
_cell_length_a 5.4092
_cell_length_b 5.4092
_cell_length_c 11.7776
_cell_angle_alpha 90.00
_cell_angle_beta 90.00
_cell_angle_gamma 90.00
_space_group_name_H-M_alt 'P 1'
_space_group_IT_number 1
loop_
_space_group_symop_operation_xyz
'x,y,z'
loop_
_atom_site_label
_atom_site_type_symbol
_atom_site_fract_x
_atom_site_fract_y
_atom_site_fract_z
Sr1 Sr 0.0000 0.0000 0.3366
Sr2 Sr 0.5000 0.5000 0.8366
Sr3 Sr 0.5000 0.5000 0.1634
Sr4 Sr 0.0000 0.0000 0.6634
Dy1 Dy 0.0000 0.0000 0.0000
Dy2 Dy 0.5000 0.5000 0.5000
F1 F 0.3245 0.3245 0.3410
F2 F 0.6755 0.6755 0.3410
F3 F 0.1755 0.8245 0.8410
F4 F 0.8245 0.1755 0.8410
F5 F 0.1755 0.8245 0.1590
F6 F 0.8245 0.1755 0.1590
F7 F 0.3245 0.3245 0.6590
F8 F 0.6755 0.6755 0.6590
F9 F 0.2904 0.2904 0.0000
F10 F 0.7096 0.7096 0.0000
F11 F 0.2096 0.7904 0.5000
F12 F 0.7904 0.2096 0.5000
# D(E_F) (states/eV/atom): 0.180
# Total moment (μB/f.u.): 0.3
# Formation energy without anion corrections (eV per atom): -3.689

# Cs3PtAu PBE-GGA optimized geometry
data_Cs3PtAu
_chemical_formula_sum 'Cs12 Pt4 Au4'
_cell_length_a 5.8794
_cell_length_b 10.9117
_cell_length_c 14.5391
_cell_angle_alpha 104.84
_cell_angle_beta 90.00
_cell_angle_gamma 90.00
_space_group_name_H-M_alt 'P 1'
_space_group_IT_number 1
loop_
_space_group_symop_operation_xyz
'x,y,z'
loop_
_atom_site_label
_atom_site_type_symbol
_atom_site_fract_x
_atom_site_fract_y
_atom_site_fract_z
Cs1 Cs 0.9994 0.9991 0.3576
Cs2 Cs 0.0006 0.0009 0.6424
Cs3 Cs 0.4994 0.0009 0.1424
Cs4 Cs 0.5006 0.9991 0.8576
Cs5 Cs 0.4996 0.2652 0.4159
Cs6 Cs 0.5004 0.7348 0.5841
Cs7 Cs 0.9996 0.7348 0.0841
Cs8 Cs 0.0004 0.2652 0.9159
Cs9 Cs 0.0006 0.3759 0.6430
Cs10 Cs 0.9994 0.6241 0.3570
Cs11 Cs 0.5006 0.6241 0.8570
Cs12 Cs 0.4994 0.3759 0.1430
Pt1 Pt 0.5005 0.0938 0.5755
Pt2 Pt 0.4995 0.9062 0.4245
Pt3 Pt 0.0005 0.9062 0.9245
Pt4 Pt 0.9995 0.0938 0.0755
Au1 Au 0.9994 0.2639 0.2467
Au2 Au 0.0006 0.7361 0.7533
Au3 Au 0.4994 0.7361 0.2533
Au4 Au 0.5006 0.2639 0.7467
# D(E_F) (states/eV/atom): 0.410
# Formation energy (meV per atom): -148
# Total moment (μB/f.u.): 0.0
# Energy relative to the lowest polymorph listed for this composition (meV per atom): 0

# KAs3Au3 PBE-GGA optimized geometry
data_KAs3Au3
_chemical_formula_sum 'K2 As6 Au6'
_cell_length_a 7.2299
_cell_length_b 7.2299
_cell_length_c 7.2299
_cell_angle_alpha 90.00
_cell_angle_beta 90.00
_cell_angle_gamma 90.00
_space_group_name_H-M_alt 'P 1'
_space_group_IT_number 1
loop_
_space_group_symop_operation_xyz
'x,y,z'
loop_
_atom_site_label
_atom_site_type_symbol
_atom_site_fract_x
_atom_site_fract_y
_atom_site_fract_z
As1 As 0.0000 0.2500 0.5000
As2 As 0.0000 0.7500 0.5000
As3 As 0.5000 0.0000 0.7500
As4 As 0.7500 0.5000 0.0000
As5 As 0.5000 0.0000 0.2500
As6 As 0.2500 0.5000 0.0000
Au1 Au 0.2500 0.0000 0.5000
Au2 Au 0.0000 0.5000 0.2500
Au3 Au 0.5000 0.7500 0.0000
Au4 Au 0.7500 0.0000 0.5000
Au5 Au 0.0000 0.5000 0.7500
Au6 Au 0.5000 0.2500 0.0000
K1 K 0.5000 0.5000 0.5000
K2 K 0.0000 0.0000 0.0000
# D(E_F) (states/eV/atom): 0.587
# Formation energy (meV per atom): -103
# Total moment (μB/f.u.): 0.0

# HgSI3 PBE-GGA optimized geometry
data_HgSI3
_chemical_formula_sum 'Hg1 S1 I3'
_cell_length_a 5.5969
_cell_length_b 5.5969
_cell_length_c 5.5969
_cell_angle_alpha 90.00
_cell_angle_beta 90.00
_cell_angle_gamma 90.00
_space_group_name_H-M_alt 'P 1'
_space_group_IT_number 1
loop_
_space_group_symop_operation_xyz
'x,y,z'
loop_
_atom_site_label
_atom_site_type_symbol
_atom_site_fract_x
_atom_site_fract_y
_atom_site_fract_z
I1 I 0.0000 0.5000 0.0000
I2 I 0.0000 0.0000 0.5000
I3 I 0.5000 0.0000 0.0000
S1 S 0.0000 0.0000 0.0000
Hg1 Hg 0.5000 0.5000 0.5000
# D(E_F) (states/eV/atom): 0.735
# Total moment (μB/f.u.): 0.0
# Formation energy without anion corrections (eV per atom): 0.236
# Energy relative to the lowest polymorph listed for this composition (meV per atom): 284

# LaTbIrCl PBE-GGA optimized geometry
data_LaTbIrCl
_chemical_formula_sum 'La1 Tb1 Ir1 Cl1'
_cell_length_a 4.0912
_cell_length_b 4.0904
_cell_length_c 8.0181
_cell_angle_alpha 89.99
_cell_angle_beta 104.75
_cell_angle_gamma 120.00
_space_group_name_H-M_alt 'P 1'
_space_group_IT_number 1
loop_
_space_group_symop_operation_xyz
'x,y,z'
loop_
_atom_site_label
_atom_site_type_symbol
_atom_site_fract_x
_atom_site_fract_y
_atom_site_fract_z
La1 La 0.5065 0.1512 0.6726
Tb1 Tb 0.1030 0.9492 0.0684
Ir1 Ir 0.3090 0.5524 0.8769
Cl1 Cl 0.9593 0.3780 0.3517
# D(E_F) (states/eV/atom): 0.269
# Total moment (μB/f.u.): 0.0
# Formation energy without anion corrections (eV per atom): -1.242

# PrNdAg3 PBE-GGA optimized geometry
data_PrNdAg3
_chemical_formula_sum 'Pr2 Nd2 Ag6'
_cell_length_a 3.6536
_cell_length_b 4.8511
_cell_length_c 14.4698
_cell_angle_alpha 90.00
_cell_angle_beta 97.25
_cell_angle_gamma 90.00
_space_group_name_H-M_alt 'P 1'
_space_group_IT_number 1
loop_
_space_group_symop_operation_xyz
'x,y,z'
loop_
_atom_site_label
_atom_site_type_symbol
_atom_site_fract_x
_atom_site_fract_y
_atom_site_fract_z
Pr1 Pr 0.9268 0.7500 0.8535
Pr2 Pr 0.0732 0.2500 0.1465
Nd1 Nd 0.2087 0.7500 0.4173
Nd2 Nd 0.7913 0.2500 0.5827
Ag1 Ag 0.6194 0.7500 0.2388
Ag2 Ag 0.3806 0.2500 0.7612
Ag3 Ag 0.5232 0.7500 0.0464
Ag4 Ag 0.4768 0.2500 0.9536
Ag5 Ag 0.6737 0.2500 0.3475
Ag6 Ag 0.3263 0.7500 0.6525
# D(E_F) (states/eV/atom): 0.900
# Formation energy (meV per atom): -245
# Total moment (μB/f.u.): 0.0
# Energy relative to the lowest polymorph listed for this composition (meV per atom): 0

# K3Pm3HoSe8 PBE-GGA optimized geometry
data_K3Pm3HoSe8
_chemical_formula_sum 'K3 Pm3 Ho1 Se8'
_cell_length_a 8.5004
_cell_length_b 8.5052
_cell_length_c 9.2561
_cell_angle_alpha 117.40
_cell_angle_beta 90.00
_cell_angle_gamma 119.97
_space_group_name_H-M_alt 'P 1'
_space_group_IT_number 1
loop_
_space_group_symop_operation_xyz
'x,y,z'
loop_
_atom_site_label
_atom_site_type_symbol
_atom_site_fract_x
_atom_site_fract_y
_atom_site_fract_z
K1 K 0.0000 0.0000 0.0000
K2 K 0.0000 0.5000 0.0000
K3 K 0.5000 0.5000 0.0000
Pm1 Pm 0.5000 0.0000 0.5000
Pm2 Pm 0.5000 0.5000 0.5000
Pm3 Pm 0.0000 0.5000 0.5000
Ho1 Ho 0.0000 0.0000 0.5000
Se1 Se 0.2631 0.5263 0.2896
Se2 Se 0.7369 0.4737 0.7104
Se3 Se 0.7693 0.5386 0.2968
Se4 Se 0.2307 0.4614 0.7032
Se5 Se 0.7693 0.0273 0.2968
Se6 Se 0.2307 0.9727 0.7032
Se7 Se 0.2580 0.0273 0.2968
Se8 Se 0.7420 0.9727 0.7032
# D(E_F) (states/eV/atom): 0.677
# Total moment (μB/f.u.): 0.0
# Formation energy without anion corrections (eV per atom): -1.668

# LaMgRu3 PBE-GGA optimized geometry
data_LaMgRu3
_chemical_formula_sum 'La1 Mg1 Ru3'
_cell_length_a 4.8330
_cell_length_b 4.8330
_cell_length_c 4.8330
_cell_angle_alpha 90.00
_cell_angle_beta 90.00
_cell_angle_gamma 90.00
_space_group_name_H-M_alt 'P 1'
_space_group_IT_number 1
loop_
_space_group_symop_operation_xyz
'x,y,z'
loop_
_atom_site_label
_atom_site_type_symbol
_atom_site_fract_x
_atom_site_fract_y
_atom_site_fract_z
Ru1 Ru 0.0000 0.5000 0.0000
Ru2 Ru 0.0000 0.0000 0.5000
Ru3 Ru 0.5000 0.0000 0.0000
Mg1 Mg 0.5000 0.5000 0.5000
La1 La 0.0000 0.0000 0.0000
# D(E_F) (states/eV/atom): 1.661
# Formation energy (meV per atom): 1531
# Total moment (μB/f.u.): 2.3
# Energy relative to the lowest polymorph listed for this composition (meV per atom): 619

Which of these has the highest D(E_F)? RbN2ClF